First-principles (GGA-PBE) data for a geometry-optimized Rb2Tl4BiAu3 structure, as listed in the Alexandria database.

## Properties
For the energy of formation from the pure elements, the calculation gives -152.6 meV/atom. The total magnetic moment is 0.000 μB per atom.

a b c (Å): 5.2943 5.2943 11.5735
angles (deg): 90.00 90.00 90.00
With the nearest neighbours (Å) after each atom.
Fractional positions:
Rb  0.0000  0.5000  0.2478  2 Bi 3.90, 7 Au 3.90-4.22, 8 Tl 3.94
Rb  0.5000  0.0000  0.7522  2 Bi 3.90, 7 Au 3.90-4.22, 8 Tl 3.94
Tl  0.0000  0.0000  0.5000  4 Au 2.95
Tl  0.0000  0.5000  0.8594  3 Au 2.86-3.11, 2 Bi 3.11
Tl  0.5000  0.0000  0.1406  3 Au 2.86-3.11, 2 Bi 3.11
Tl  0.5000  0.5000  0.5000  4 Au 2.95
Bi  0.5000  0.5000  0.0000  4 Tl 3.11
Au  0.0000  0.0000  0.0000  4 Tl 3.11
Au  0.0000  0.5000  0.6121  5 Tl 2.86-2.95
Au  0.5000  0.0000  0.3879  5 Tl 2.86-2.95


First-principles (GGA-PBE) data for a geometry-optimized Rb2AgGe structure, as listed in the Alexandria database.

## Properties
For the energy of formation from the pure elements, the calculation gives 102.2 meV/atom. The total magnetic moment is 0.000 μB per atom.

a b c (Å): 9.7883 9.7883 9.7883
angles (deg): 93.51 93.51 151.33
With the nearest neighbours (Å) after each atom.
Fractional positions:
Rb  0.3750  0.0812  0.2062  2 Ag 3.46, 2 Ge 3.86
Rb  0.8312  0.6250  0.7062  2 Ag 3.46, 2 Ge 3.86
Rb  0.8750  0.1688  0.7938  2 Ag 3.46, 2 Ge 3.86
Rb  0.9188  0.1250  0.2938  2 Ag 3.46, 2 Ge 3.86
Ag  0.0000  0.0000  0.0000  2 Ge 2.42
Ag  0.7500  0.2500  0.5000  2 Ge 2.42
Ge  0.2500  0.7500  0.5000  2 Ag 2.42
Ge  0.5000  0.5000  0.0000  2 Ag 2.42


First-principles (GGA-PBE) data for a geometry-optimized LiCaSbCl6 structure, as listed in the Alexandria database.

## Properties
The calculation puts the raw formation energy at -1.541 eV per atom. The total magnetic moment is 0.000 μB per atom.

a b c (Å): 6.6978 6.6978 11.9894
angles (deg): 90.00 90.00 120.00
With the nearest neighbours (Å) after each atom.
Fractional positions:
Li  0.3333  0.6667  0.2500  6 Cl 2.62
Li  0.6667  0.3333  0.7500  6 Cl 2.62
Ca  0.3333  0.6667  0.7500  6 Cl 2.75
Ca  0.6667  0.3333  0.2500  6 Cl 2.75
Sb  0.0000  0.0000  0.0000  6 Cl 2.69
Sb  0.0000  0.0000  0.5000  6 Cl 2.69
Cl  0.0162  0.3413  0.1254  1 Li 2.62, 1 Sb 2.69, 1 Ca 2.75
Cl  0.0162  0.6749  0.3746  1 Li 2.62, 1 Sb 2.69, 1 Ca 2.75
Cl  0.3251  0.3413  0.3746  1 Li 2.62, 1 Sb 2.69, 1 Ca 2.75
Cl  0.3251  0.9838  0.1254  1 Li 2.62, 1 Sb 2.69, 1 Ca 2.75
Cl  0.3413  0.0162  0.6254  1 Li 2.62, 1 Sb 2.69, 1 Ca 2.75
Cl  0.3413  0.3251  0.8746  1 Li 2.62, 1 Sb 2.69, 1 Ca 2.75
Cl  0.6587  0.6749  0.1254  1 Li 2.62, 1 Sb 2.69, 1 Ca 2.75
Cl  0.6587  0.9838  0.3746  1 Li 2.62, 1 Sb 2.69, 1 Ca 2.75
Cl  0.6749  0.0162  0.8746  1 Li 2.62, 1 Sb 2.69, 1 Ca 2.75
Cl  0.6749  0.6587  0.6254  1 Li 2.62, 1 Sb 2.69, 1 Ca 2.75
Cl  0.9838  0.3251  0.6254  1 Li 2.62, 1 Sb 2.69, 1 Ca 2.75
Cl  0.9838  0.6587  0.8746  1 Li 2.62, 1 Sb 2.69, 1 Ca 2.75


First-principles (GGA-PBE) data for a geometry-optimized MgNi6Ge structure, as listed in the Alexandria database.

## Properties
For the energy of formation from the pure elements, the calculation gives -181.0 meV/atom. The total magnetic moment is 0.167 μB per atom.

a b c (Å): 6.2557 6.2557 10.2133
angles (deg): 90.00 90.00 109.65
With the nearest neighbours (Å) after each atom.
Fractional positions:
Mg  0.0000  0.0000  0.2494  12 Ni 2.55-2.61
Mg  0.0000  0.0000  0.7506  12 Ni 2.55-2.61
Mg  0.2442  0.7558  0.0000  12 Ni 2.50-2.62
Mg  0.7558  0.2442  0.0000  12 Ni 2.50-2.62
Ni  0.0000  0.0000  0.0000  4 Mg 2.50-2.55, 8 Ni 2.60
Ni  0.0000  0.0000  0.5000  2 Ge 2.46, 2 Mg 2.56, 8 Ni 2.58
Ni  0.1316  0.3827  0.3777  8 Ni 2.49-2.58, 3 Ge 2.52-2.55, 1 Mg 2.61
Ni  0.1316  0.3827  0.6223  8 Ni 2.49-2.58, 3 Ge 2.52-2.55, 1 Mg 2.61
Ni  0.1329  0.3814  0.1278  1 Ge 2.49, 8 Ni 2.53-2.61, 3 Mg 2.56-2.58
Ni  0.1329  0.3814  0.8722  1 Ge 2.49, 8 Ni 2.53-2.61, 3 Mg 2.56-2.58
Ni  0.2510  0.7490  0.2557  8 Ni 2.49-2.61, 2 Ge 2.50-2.55, 2 Mg 2.57-2.61
Ni  0.2510  0.7490  0.7443  8 Ni 2.49-2.61, 2 Ge 2.50-2.55, 2 Mg 2.57-2.61
Ni  0.3814  0.1329  0.1278  1 Ge 2.49, 8 Ni 2.53-2.61, 3 Mg 2.56-2.58
Ni  0.3814  0.1329  0.8722  1 Ge 2.49, 8 Ni 2.53-2.61, 3 Mg 2.56-2.58
Ni  0.3827  0.1316  0.3777  8 Ni 2.49-2.58, 3 Ge 2.52-2.55, 1 Mg 2.61
Ni  0.3827  0.1316  0.6223  8 Ni 2.49-2.58, 3 Ge 2.52-2.55, 1 Mg 2.61
Ni  0.5000  0.5000  0.0000  8 Ni 2.53, 2 Ge 2.53, 2 Mg 2.62
Ni  0.5000  0.5000  0.5000  8 Ni 2.50, 4 Ge 2.58-2.66
Ni  0.6173  0.8684  0.3777  8 Ni 2.49-2.58, 3 Ge 2.52-2.55, 1 Mg 2.61
Ni  0.6173  0.8684  0.6223  8 Ni 2.49-2.58, 3 Ge 2.52-2.55, 1 Mg 2.61
Ni  0.6186  0.8671  0.1278  1 Ge 2.49, 8 Ni 2.53-2.61, 3 Mg 2.56-2.58
Ni  0.6186  0.8671  0.8722  1 Ge 2.49, 8 Ni 2.53-2.61, 3 Mg 2.56-2.58
Ni  0.7490  0.2510  0.2557  8 Ni 2.49-2.61, 2 Ge 2.50-2.55, 2 Mg 2.57-2.61
Ni  0.7490  0.2510  0.7443  8 Ni 2.49-2.61, 2 Ge 2.50-2.55, 2 Mg 2.57-2.61
Ni  0.8671  0.6186  0.1278  1 Ge 2.49, 8 Ni 2.53-2.61, 3 Mg 2.56-2.58
Ni  0.8671  0.6186  0.8722  1 Ge 2.49, 8 Ni 2.53-2.61, 3 Mg 2.56-2.58
Ni  0.8684  0.6173  0.3777  8 Ni 2.49-2.58, 3 Ge 2.52-2.55, 1 Mg 2.61
Ni  0.8684  0.6173  0.6223  8 Ni 2.49-2.58, 3 Ge 2.52-2.55, 1 Mg 2.61
Ge  0.2403  0.7597  0.5000  12 Ni 2.46-2.66
Ge  0.5000  0.5000  0.2478  12 Ni 2.49-2.58
Ge  0.5000  0.5000  0.7522  12 Ni 2.49-2.58
Ge  0.7597  0.2403  0.5000  12 Ni 2.46-2.66


First-principles (GGA-PBE) data for a geometry-optimized CsCdRhF6 structure, as listed in the Alexandria database.

## Properties
The calculation puts the raw formation energy at -2.089 eV per atom. The total magnetic moment is 0.000 μB per atom.

a b c (Å): 7.7951 7.7951 7.7951
angles (deg): 121.10 119.39 89.58
With the nearest neighbours (Å) after each atom.
Fractional positions:
Cs  0.3715  0.1215  0.2500  6 F 3.17-3.48
Cs  0.6285  0.8785  0.7500  6 F 3.17-3.48
Cd  0.0000  0.5000  0.5000  6 F 2.21-2.27
Cd  0.5000  0.5000  0.0000  6 F 2.21-2.27
Rh  0.0000  0.0000  0.5000  6 F 2.01-2.02
Rh  0.0000  0.5000  0.0000  6 F 2.01-2.02
F  0.0573  0.8073  0.2500  2 Rh 2.02
F  0.0605  0.4012  0.2100  1 Rh 2.01
F  0.0605  0.8505  0.6593  1 Rh 2.01
F  0.3088  0.1495  0.7100  1 Rh 2.01
F  0.3088  0.5988  0.1593  1 Rh 2.01
F  0.3418  0.5918  0.7500  2 Cd 2.21
F  0.6582  0.4082  0.2500  2 Cd 2.21
F  0.6912  0.4012  0.8407  1 Rh 2.01
F  0.6912  0.8505  0.2900  1 Rh 2.01
F  0.9395  0.1495  0.3407  1 Rh 2.01
F  0.9395  0.5988  0.7900  1 Rh 2.01
F  0.9427  0.1927  0.7500  2 Rh 2.02


First-principles (GGA-PBE) data for a geometry-optimized CuBiC2 structure, as listed in the Alexandria database.

## Properties
For the energy of formation from the pure elements, the calculation gives 1574.8 meV/atom. The total magnetic moment is 0.000 μB per atom.

a b c (Å): 6.1432 6.1432 6.1432
angles (deg): 132.93 132.93 68.77
With the nearest neighbours (Å) after each atom.
Fractional positions:
Cu  0.0000  0.0000  0.0000  4 C 1.99
Cu  0.7500  0.2500  0.5000  4 C 1.99
Bi  0.2500  0.7500  0.5000  4 C 2.34
Bi  0.5000  0.5000  0.0000  4 C 2.34
C  0.0615  0.6250  0.9365  2 Cu 1.99
C  0.3750  0.3115  0.4365  2 Cu 1.99
C  0.6885  0.1250  0.0635  2 Cu 1.99
C  0.8750  0.9385  0.5635  2 Cu 1.99


> Among the records above, which one has the highest total magnetic moment?

MgNi6Ge


> Look up the total magnetic moment of the fifth one.

0.000 μB per atom